Entry 1:
A plane-wave DFT calculation with PBE was carried out for crystalline Ge2BPd8 at its relaxed geometry.

The calculation puts the size of the total moment at 0.000 μB per formula unit.

Cell: 7.944 7.944 5.817 Å, 94.08 94.08 26.56°
Positions (direct):
Ge 0.171 0.171 0.229
Ge 0.829 0.829 0.771
B 0.500 0.500 0.500
Pd 0.006 0.006 0.272
Pd 0.220 0.220 0.807
Pd 0.367 0.367 0.488
Pd 0.403 0.403 0.013
Pd 0.597 0.597 0.987
Pd 0.633 0.633 0.512
Pd 0.780 0.780 0.193
Pd 0.994 0.994 0.728

=====

Entry 2:
A plane-wave DFT calculation with PBE was carried out for crystalline GeB3Pd at its relaxed geometry.

Its energy above the lowest structure with this stoichiometry is 0.393 eV/atom. The calculation puts the size of the total moment at 0.000 μB per formula unit.

Cell: 4.097 4.097 4.097 Å, 90.00 90.00 90.00°
Positions (direct):
Ge 0.000 0.000 0.000
B 0.000 0.000 0.500
B 0.000 0.500 0.000
B 0.500 0.000 0.000
Pd 0.500 0.500 0.500

=====

Entry 3:
A plane-wave DFT calculation with PBE was carried out for crystalline Pu3GeB2Pd8 at its relaxed geometry.

The calculation puts the size of the total moment at 15.646 μB per formula unit.

Cell: 5.507 5.507 9.622 Å, 90.00 90.00 120.00°
Positions (direct):
Pu 0.000 0.000 0.000
Pu 0.333 0.667 0.632
Pu 0.667 0.333 0.368
Ge 0.000 0.000 0.500
B 0.333 0.667 0.376
B 0.667 0.333 0.624
Pd 0.166 0.331 0.241
Pd 0.166 0.834 0.241
Pd 0.331 0.166 0.759
Pd 0.333 0.667 0.957
Pd 0.667 0.333 0.043
Pd 0.669 0.834 0.241
Pd 0.834 0.166 0.759
Pd 0.834 0.669 0.759

=====

Number 1: total energy -5.56 eV/atom, formation energy -0.338 eV per atom. Number 2: total energy -4.10 eV/atom, formation energy 1.865 eV per atom. Number 3: total energy -7.44 eV/atom, formation energy -0.118 eV per atom.